DFT (PBE-GGA) results for crystalline CaPt2 at its relaxed geometry.

Lattice parameters (Å, degrees): 5.845 4.192 8.990 90.00 90.00 90.00
Sites, in units of the cell vectors:
1 Ca 0.129 0.250 0.100
2 Ca 0.371 0.750 0.600
3 Ca 0.629 0.250 0.400
4 Ca 0.871 0.750 0.900
5 Pt 0.109 0.250 0.423
6 Pt 0.130 0.250 0.753
7 Pt 0.370 0.750 0.253
8 Pt 0.391 0.750 0.923
9 Pt 0.609 0.250 0.077
10 Pt 0.630 0.250 0.747
11 Pt 0.870 0.750 0.247
12 Pt 0.891 0.750 0.577

As for the calculated volume: 220.27 Å³/cell. Its formation energy is -0.646 eV per atom.